No. 1
DFT (PBE-GGA) results for crystalline BaNaTbTe3 at its relaxed geometry.

```
BaNaTbTe3
1.0
-3.6749 2.4027 -1.5601
0.7879 -4.1914 -8.3108
-6.2714 -5.9389 5.6263
Tb Na Te Ba
2 2 6 2
Direct
0.7500 0.3235 0.8441 Tb
0.2500 0.6765 0.1559 Tb
0.7500 0.9110 0.4123 Na
0.2500 0.0890 0.5877 Na
0.7500 0.2598 0.5261 Te
0.7500 0.8943 0.1219 Te
0.2500 0.7402 0.4739 Te
0.2500 0.5481 0.8441 Te
0.2500 0.1057 0.8781 Te
0.7500 0.4519 0.1559 Te
0.2500 0.2129 0.2470 Ba
0.7500 0.7871 0.7530 Ba
```

Output
The calculation puts the calculated volume at 35.91 Å³ per atom. Its symmetry is P2_1/m. As for the energy relative to the elements, uncorrected: -1.3695 eV/atom.

***

No. 2
DFT (PBE-GGA) results for crystalline BaNa2Tc4 at its relaxed geometry.

```
BaNa2Tc4
1.0
5.1464 0.0000 0.0000
0.0000 5.1464 0.0000
2.5732 2.5732 7.6710
Tc Na Ba
4 2 1
Direct
0.5000 0.0000 0.0000 Tc
0.8214 0.8214 0.3571 Tc
0.1786 0.1786 0.6429 Tc
0.0000 0.5000 0.0000 Tc
0.3764 0.3764 0.2471 Na
0.6236 0.6236 0.7529 Na
0.0000 0.0000 0.0000 Ba
```

Output
The calculation puts the calculated volume at 29.02 Å³ per atom. Its symmetry is I4/mmm. For the formation energy, the calculation gives 2.5837 eV per atom.

***

No. 3
DFT (PBE-GGA) results for crystalline Ba2Na2Tc at its relaxed geometry.

```
Ba2Na2Tc
1.0
-0.1299 1.3510 6.5401
1.9065 -6.2617 1.3314
5.0470 -1.2256 3.7643
Ba Na Tc
2 2 1
Direct
0.2500 0.7500 0.5000 Ba
0.7500 0.2500 0.5000 Ba
0.6547 0.6547 0.6907 Na
0.3453 0.3453 0.3093 Na
0.0000 0.0000 0.0000 Tc
```

Output
The energy above the most stable polymorph in this dataset comes out at 94 meV/atom. The calculation puts the calculated volume at 38.73 Å³ per atom. Its symmetry is I4/mmm. For the formation energy, the calculation gives 0.8832 eV per atom.